## A
The following is a DFT calculation (PBE) of Sc4Si4Ni3 after structural relaxation.

Cell lengths 7.5766, 7.5766, 7.5766 Å; angles 152.97, 103.77, 82.60 degrees
Fractional positions:
Sc (0.2166, 0.2166, 0.0000)
Sc (0.2455, 0.5000, 0.7455)
Sc (0.7545, 0.5000, 0.2545)
Sc (0.7834, 0.7834, 0.0000)
Si (0.1000, 0.8077, 0.2923)
Si (0.4846, 0.1923, 0.2923)
Si (0.5154, 0.8077, 0.7077)
Si (0.9000, 0.1923, 0.7077)
Ni (0.0000, 0.0000, 0.0000)
Ni (0.3989, 0.8989, 0.5000)
Ni (0.6011, 0.1011, 0.5000)



## B
The following is a DFT calculation (PBE) of Sc4Si4Ni3 after structural relaxation.

Cell lengths 8.7711, 8.7711, 8.7711 Å; angles 161.48, 124.92, 58.63 degrees
Fractional positions:
Sc (0.0299, 0.8475, 0.1824)
Sc (0.3349, 0.1525, 0.1824)
Sc (0.6651, 0.8475, 0.8176)
Sc (0.9701, 0.1525, 0.8176)
Si (0.2764, 0.7764, 0.5000)
Si (0.3343, 0.0000, 0.3343)
Si (0.6657, 0.0000, 0.6657)
Si (0.7236, 0.2236, 0.5000)
Ni (0.0000, 0.5000, 0.5000)
Ni (0.4042, 0.4042, 0.0000)
Ni (0.5958, 0.5958, 0.0000)



Most stable structure, least stable structure: A, B.



## A
The following is a DFT calculation (PBE) of Sc3Si4Ni2 after structural relaxation.

Cell lengths 11.6912, 3.9879, 11.9633 Å; angles 90.00, 90.00, 90.00 degrees
Fractional positions:
Sc (0.0192, 0.2500, 0.1867)
Sc (0.1950, 0.7500, 0.5798)
Sc (0.2467, 0.2500, 0.3488)
Sc (0.2533, 0.7500, 0.8488)
Sc (0.3050, 0.2500, 0.0798)
Sc (0.4808, 0.7500, 0.6867)
Sc (0.5192, 0.2500, 0.3133)
Sc (0.6950, 0.7500, 0.9202)
Sc (0.7467, 0.2500, 0.1512)
Sc (0.7533, 0.7500, 0.6512)
Sc (0.8050, 0.2500, 0.4202)
Sc (0.9808, 0.7500, 0.8133)
Si (0.0576, 0.2500, 0.4671)
Si (0.1090, 0.2500, 0.9361)
Si (0.1231, 0.2500, 0.7334)
Si (0.1731, 0.7500, 0.2019)
Si (0.3269, 0.2500, 0.7019)
Si (0.3769, 0.7500, 0.2334)
Si (0.3910, 0.7500, 0.4361)
Si (0.4424, 0.7500, 0.9671)
Si (0.5576, 0.2500, 0.0329)
Si (0.6090, 0.2500, 0.5639)
Si (0.6231, 0.2500, 0.7666)
Si (0.6731, 0.7500, 0.2981)
Si (0.8269, 0.2500, 0.7981)
Si (0.8769, 0.7500, 0.2666)
Si (0.8910, 0.7500, 0.0639)
Si (0.9424, 0.7500, 0.5329)
Ni (0.0496, 0.7500, 0.3652)
Ni (0.0891, 0.7500, 0.0271)
Ni (0.4109, 0.2500, 0.5271)
Ni (0.4504, 0.2500, 0.8652)
Ni (0.5496, 0.7500, 0.1348)
Ni (0.5891, 0.7500, 0.4729)
Ni (0.9109, 0.2500, 0.9729)
Ni (0.9504, 0.2500, 0.6348)



## B
The following is a DFT calculation (PBE) of Sc3Si4Ni2 after structural relaxation.

Cell lengths 5.3385, 5.3385, 7.5669 Å; angles 105.94, 105.94, 43.14 degrees
Fractional positions:
Sc (0.0000, 0.0000, 0.0000)
Sc (0.3765, 0.3765, 0.3059)
Sc (0.6235, 0.6235, 0.6941)
Si (0.0858, 0.0858, 0.4063)
Si (0.2851, 0.2851, 0.9273)
Si (0.7149, 0.7149, 0.0727)
Si (0.9142, 0.9142, 0.5937)
Ni (0.3116, 0.3116, 0.6372)
Ni (0.6884, 0.6884, 0.3628)



Most stable structure, least stable structure: A, B.



## A
The following is a DFT calculation (PBE) of ScSi3Ni3 after structural relaxation.

Cell lengths 6.1666, 6.1666, 6.1666 Å; angles 90.00, 90.00, 90.00 degrees
Fractional positions:
Sc (0.0000, 0.0000, 0.0000)
Sc (0.5000, 0.5000, 0.5000)
Si (0.0000, 0.2500, 0.5000)
Si (0.0000, 0.7500, 0.5000)
Si (0.2500, 0.5000, 0.0000)
Si (0.5000, 0.0000, 0.2500)
Si (0.5000, 0.0000, 0.7500)
Si (0.7500, 0.5000, 0.0000)
Ni (0.0000, 0.5000, 0.2500)
Ni (0.0000, 0.5000, 0.7500)
Ni (0.2500, 0.0000, 0.5000)
Ni (0.5000, 0.2500, 0.0000)
Ni (0.5000, 0.7500, 0.0000)
Ni (0.7500, 0.0000, 0.5000)



## B
The following is a DFT calculation (PBE) of ScSi3Ni3 after structural relaxation.

Cell lengths 5.5971, 5.5971, 10.2371 Å; angles 108.77, 108.77, 39.68 degrees
Fractional positions:
Sc (0.2214, 0.2214, 0.3732)
Sc (0.7786, 0.7786, 0.6268)
Si (0.2622, 0.2622, 0.8183)
Si (0.3742, 0.3742, 0.0805)
Si (0.4709, 0.4709, 0.6152)
Si (0.5291, 0.5291, 0.3848)
Si (0.6258, 0.6258, 0.9195)
Si (0.7378, 0.7378, 0.1817)
Ni (0.0332, 0.0332, 0.8025)
Ni (0.0984, 0.0984, 0.5965)
Ni (0.1348, 0.1348, 0.0663)
Ni (0.8652, 0.8652, 0.9337)
Ni (0.9016, 0.9016, 0.4035)
Ni (0.9668, 0.9668, 0.1975)



Most stable structure, least stable structure: B, A.



## A
The following is a DFT calculation (PBE) of Sc3NiSn after structural relaxation.

Cell lengths 7.0389, 7.0389, 4.9891 Å; angles 90.00, 90.00, 120.00 degrees
Fractional positions:
Sc (0.1802, 0.3604, 0.2500)
Sc (0.1802, 0.8198, 0.2500)
Sc (0.3604, 0.1802, 0.7500)
Sc (0.6396, 0.8198, 0.2500)
Sc (0.8198, 0.1802, 0.7500)
Sc (0.8198, 0.6396, 0.7500)
Ni (0.0000, 0.0000, 0.0000)
Ni (0.0000, 0.0000, 0.5000)
Sn (0.3333, 0.6667, 0.7500)
Sn (0.6667, 0.3333, 0.2500)



## B
The following is a DFT calculation (PBE) of Sc3NiSn after structural relaxation.

Cell lengths 4.8464, 4.8464, 4.8464 Å; angles 90.00, 90.00, 90.00 degrees
Fractional positions:
Sc (0.0000, 0.0000, 0.5000)
Sc (0.0000, 0.5000, 0.0000)
Sc (0.5000, 0.0000, 0.0000)
Ni (0.0000, 0.0000, 0.0000)
Sn (0.5000, 0.5000, 0.5000)



Most stable structure, least stable structure: A, B.